one.
# HfGa3Co | the Alexandria database | PBE | optimized geometry
# DOS(E_F) (states/eV per cell): 14.555
# V (Å³/f.u.): 80.4
data_HfGa3Co
_cell_length_a 6.260
_cell_length_b 6.260
_cell_length_c 8.713
_cell_angle_alpha 90.00
_cell_angle_beta 90.00
_cell_angle_gamma 109.73
_symmetry_space_group_name_H-M 'P 1'
_symmetry_Int_Tables_number 1
_symmetry_space_group_name_Hall 'P 1'
loop_
_atom_site_label
_atom_site_fract_x
_atom_site_fract_y
_atom_site_fract_z
Hf1 0.124 0.876 0.750
Hf2 0.356 0.644 0.250
Hf3 0.644 0.356 0.750
Hf4 0.876 0.124 0.250
Ga1 0.118 0.882 0.079
Ga2 0.118 0.882 0.421
Ga3 0.169 0.454 0.750
Ga4 0.317 0.317 0.000
Ga5 0.317 0.317 0.500
Ga6 0.454 0.169 0.250
Ga7 0.546 0.831 0.750
Ga8 0.683 0.683 0.000
Ga9 0.683 0.683 0.500
Ga10 0.831 0.546 0.250
Ga11 0.882 0.118 0.579
Ga12 0.882 0.118 0.921
Co1 0.000 0.500 0.000
Co2 0.000 0.500 0.500
Co3 0.500 0.000 0.000
Co4 0.500 0.000 0.500

---

two.
# HfGa3Co | the Alexandria database | PBE | optimized geometry
# DOS(E_F) (states/eV per cell): 3.773
# V (Å³/f.u.): 134.4
data_HfGa3Co
_cell_length_a 5.122
_cell_length_b 5.122
_cell_length_c 5.122
_cell_angle_alpha 90.00
_cell_angle_beta 90.00
_cell_angle_gamma 90.00
_symmetry_space_group_name_H-M 'P 1'
_symmetry_Int_Tables_number 1
_symmetry_space_group_name_Hall 'P 1'
loop_
_atom_site_label
_atom_site_fract_x
_atom_site_fract_y
_atom_site_fract_z
Hf1 0.000 0.000 0.000
Ga1 0.000 0.000 0.500
Ga2 0.000 0.500 0.000
Ga3 0.500 0.000 0.000
Co1 0.500 0.500 0.500

---

three.
# HfGa3Co | the Alexandria database | PBE | optimized geometry
# DOS(E_F) (states/eV per cell): 5.372
# V (Å³/f.u.): 88.5
data_HfGa3Co
_cell_length_a 4.456
_cell_length_b 4.456
_cell_length_c 4.456
_cell_angle_alpha 90.00
_cell_angle_beta 90.00
_cell_angle_gamma 90.00
_symmetry_space_group_name_H-M 'P 1'
_symmetry_Int_Tables_number 1
_symmetry_space_group_name_Hall 'P 1'
loop_
_atom_site_label
_atom_site_fract_x
_atom_site_fract_y
_atom_site_fract_z
Hf1 0.000 0.000 0.000
Ga1 0.000 0.500 0.500
Ga2 0.500 0.000 0.500
Ga3 0.500 0.500 0.000
Co1 0.500 0.500 0.500

---

four.
# HfGa3Co | the Alexandria database | PBE | optimized geometry
# DOS(E_F) (states/eV per cell): 8.567
# V (Å³/f.u.): 78.1
data_HfGa3Co
_cell_length_a 8.175
_cell_length_b 5.399
_cell_length_c 7.113
_cell_angle_alpha 90.00
_cell_angle_beta 96.12
_cell_angle_gamma 90.00
_symmetry_space_group_name_H-M 'P 1'
_symmetry_Int_Tables_number 1
_symmetry_space_group_name_Hall 'P 1'
loop_
_atom_site_label
_atom_site_fract_x
_atom_site_fract_y
_atom_site_fract_z
Hf1 0.127 0.123 0.191
Hf2 0.127 0.377 0.691
Hf3 0.873 0.623 0.309
Hf4 0.873 0.877 0.809
Ga1 0.119 0.629 0.058
Ga2 0.119 0.871 0.558
Ga3 0.293 0.618 0.366
Ga4 0.293 0.882 0.866
Ga5 0.387 0.168 0.500
Ga6 0.387 0.332 0.000
Ga7 0.613 0.668 0.000
Ga8 0.613 0.832 0.500
Ga9 0.707 0.118 0.134
Ga10 0.707 0.382 0.634
Ga11 0.881 0.129 0.442
Ga12 0.881 0.371 0.942
Co1 0.441 0.549 0.698
Co2 0.441 0.951 0.198
Co3 0.559 0.049 0.802
Co4 0.559 0.451 0.302

---

What should be chosen as the least stable of them? Choose two.

---

one.
# Hf2Ga3Co4 | the Alexandria database | PBE | optimized geometry
# DOS(E_F) (states/eV per cell): 15.271
# V (Å³/f.u.): 127.1
data_Hf2Ga3Co4
_cell_length_a 7.646
_cell_length_b 7.646
_cell_length_c 6.873
_cell_angle_alpha 90.00
_cell_angle_beta 90.00
_cell_angle_gamma 140.77
_symmetry_space_group_name_H-M 'P 1'
_symmetry_Int_Tables_number 1
_symmetry_space_group_name_Hall 'P 1'
loop_
_atom_site_label
_atom_site_fract_x
_atom_site_fract_y
_atom_site_fract_z
Hf1 0.102 0.898 0.910
Hf2 0.398 0.602 0.410
Hf3 0.602 0.398 0.590
Hf4 0.898 0.102 0.090
Ga1 0.000 0.000 0.500
Ga2 0.015 0.485 0.750
Ga3 0.485 0.015 0.250
Ga4 0.500 0.500 0.000
Ga5 0.515 0.985 0.750
Ga6 0.985 0.515 0.250
Co1 0.170 0.830 0.517
Co2 0.182 0.318 0.750
Co3 0.318 0.182 0.250
Co4 0.330 0.670 0.017
Co5 0.670 0.330 0.983
Co6 0.682 0.818 0.750
Co7 0.818 0.682 0.250
Co8 0.830 0.170 0.483

---

two.
# Hf2Ga3Co4 | the Alexandria database | PBE | optimized geometry
# DOS(E_F) (states/eV per cell): 3.959
# V (Å³/f.u.): 127.3
data_Hf2Ga3Co4
_cell_length_a 4.308
_cell_length_b 4.308
_cell_length_c 7.978
_cell_angle_alpha 97.95
_cell_angle_beta 97.95
_cell_angle_gamma 60.62
_symmetry_space_group_name_H-M 'P 1'
_symmetry_Int_Tables_number 1
_symmetry_space_group_name_Hall 'P 1'
loop_
_atom_site_label
_atom_site_fract_x
_atom_site_fract_y
_atom_site_fract_z
Hf1 0.131 0.131 0.277
Hf2 0.869 0.869 0.723
Ga1 0.234 0.234 0.911
Ga2 0.500 0.500 0.500
Ga3 0.766 0.766 0.089
Co1 0.184 0.184 0.603
Co2 0.451 0.451 0.176
Co3 0.549 0.549 0.824
Co4 0.816 0.816 0.397

---

What should be chosen as the least stable of them? Choose one.

---

one.
# GaCo2Hg | the Alexandria database | PBE | optimized geometry
# DOS(E_F) (states/eV per cell): 14.089
# V (Å³/f.u.): 55.4
data_GaCo2Hg
_cell_length_a 6.052
_cell_length_b 6.052
_cell_length_c 6.052
_cell_angle_alpha 90.00
_cell_angle_beta 90.00
_cell_angle_gamma 90.00
_symmetry_space_group_name_H-M 'P 1'
_symmetry_Int_Tables_number 1
_symmetry_space_group_name_Hall 'P 1'
loop_
_atom_site_label
_atom_site_fract_x
_atom_site_fract_y
_atom_site_fract_z
Ga1 0.000 0.000 0.000
Ga2 0.000 0.500 0.500
Ga3 0.500 0.000 0.500
Ga4 0.500 0.500 0.000
Co1 0.250 0.250 0.250
Co2 0.250 0.250 0.750
Co3 0.250 0.750 0.250
Co4 0.250 0.750 0.750
Co5 0.750 0.250 0.250
Co6 0.750 0.250 0.750
Co7 0.750 0.750 0.250
Co8 0.750 0.750 0.750
Hg1 0.000 0.000 0.500
Hg2 0.000 0.500 0.000
Hg3 0.500 0.000 0.000
Hg4 0.500 0.500 0.500

---

two.
# GaCo2Hg | the Alexandria database | PBE | optimized geometry
# DOS(E_F) (states/eV per cell): 19.754
# V (Å³/f.u.): 67.9
data_GaCo2Hg
_cell_length_a 3.939
_cell_length_b 3.939
_cell_length_c 17.494
_cell_angle_alpha 90.00
_cell_angle_beta 90.00
_cell_angle_gamma 90.00
_symmetry_space_group_name_H-M 'P 1'
_symmetry_Int_Tables_number 1
_symmetry_space_group_name_Hall 'P 1'
loop_
_atom_site_label
_atom_site_fract_x
_atom_site_fract_y
_atom_site_fract_z
Ga1 0.000 0.000 0.000
Ga2 0.000 0.500 0.250
Ga3 0.500 0.000 0.750
Ga4 0.500 0.500 0.500
Co1 0.149 0.250 0.125
Co2 0.250 0.649 0.375
Co3 0.250 0.851 0.875
Co4 0.351 0.250 0.625
Co5 0.649 0.750 0.625
Co6 0.750 0.149 0.875
Co7 0.750 0.351 0.375
Co8 0.851 0.750 0.125
Hg1 0.000 0.000 0.500
Hg2 0.000 0.500 0.750
Hg3 0.500 0.000 0.250
Hg4 0.500 0.500 0.000

---

What should be chosen as the least stable of them? Choose two.

---

one.
# GaCoHg3 | the Alexandria database | PBE | optimized geometry
# DOS(E_F) (states/eV per cell): 3.647
# V (Å³/f.u.): 127.7
data_GaCoHg3
_cell_length_a 5.036
_cell_length_b 5.036
_cell_length_c 5.036
_cell_angle_alpha 90.00
_cell_angle_beta 90.00
_cell_angle_gamma 90.00
_symmetry_space_group_name_H-M 'P 1'
_symmetry_Int_Tables_number 1
_symmetry_space_group_name_Hall 'P 1'
loop_
_atom_site_label
_atom_site_fract_x
_atom_site_fract_y
_atom_site_fract_z
Ga1 0.000 0.000 0.000
Co1 0.500 0.500 0.500
Hg1 0.000 0.500 0.500
Hg2 0.500 0.000 0.500
Hg3 0.500 0.500 0.000

---

two.
# GaCoHg3 | the Alexandria database | PBE | optimized geometry
# DOS(E_F) (states/eV per cell): 10.832
# V (Å³/f.u.): 140.3
data_GaCoHg3
_cell_length_a 5.197
_cell_length_b 5.197
_cell_length_c 5.197
_cell_angle_alpha 90.00
_cell_angle_beta 90.00
_cell_angle_gamma 90.00
_symmetry_space_group_name_H-M 'P 1'
_symmetry_Int_Tables_number 1
_symmetry_space_group_name_Hall 'P 1'
loop_
_atom_site_label
_atom_site_fract_x
_atom_site_fract_y
_atom_site_fract_z
Ga1 0.000 0.000 0.000
Co1 0.500 0.500 0.500
Hg1 0.000 0.000 0.500
Hg2 0.000 0.500 0.000
Hg3 0.500 0.000 0.000

---

What should be chosen as the least stable of them? Choose two.